# 1
An optimized crystal structure of Ca3Cd2In2Hg4. Source: the Alexandria database, functional PBE.

Summary:
Total magnetization ... 0.00 μB per cell
Symmetry ... No. 164
Calculated formation energy ... -354 meV/atom

Unit cell a=4.9735 b=4.9735 c=13.8220 alpha=90.00 beta=90.00 gamma=120.00
With the nearest neighbours (Å) after each atom.
Fractional positions:
Ca (0.0000, 0.0000, 0.2738)  3 Hg 3.14, 3 In 3.42
Ca (0.0000, 0.0000, 0.0000)  6 Hg 3.32, 6 In 3.46
Ca (0.0000, 0.0000, 0.7262)  3 Hg 3.14, 3 In 3.42
In (0.3333, 0.6667, 0.1395)  4 Hg 2.88-3.12
In (0.6667, 0.3333, 0.8605)  4 Hg 2.88-3.12
Cd (0.3333, 0.6667, 0.5742)  4 Hg 2.89-2.99
Cd (0.6667, 0.3333, 0.4258)  4 Hg 2.89-2.99
Hg (0.3333, 0.6667, 0.3651)  4 Cd 2.89-2.99, 1 In 3.12, 3 Ca 3.14
Hg (0.6667, 0.3333, 0.6349)  4 Cd 2.89-2.99, 1 In 3.12, 3 Ca 3.14
Hg (0.3333, 0.6667, 0.8789)  3 In 2.88
Hg (0.6667, 0.3333, 0.1211)  3 In 2.88

# 2
An optimized crystal structure of NaBiTe2. Source: the Alexandria database, functional PBE.

Summary:
Total magnetization ... 0.00 μB per cell
Symmetry ... No. 160
Total DFT energy (no corrections) ... -13.58 eV for the cell shown

Unit cell a=4.4760 b=4.4760 c=8.3188 alpha=74.39 beta=74.39 gamma=60.00
With the nearest neighbours (Å) after each atom.
Fractional positions:
Na (0.4989, 0.4989, 0.5033)  6 Te 3.32-3.36
Bi (0.6671, 0.6671, 0.9987)  6 Te 3.17
Te (0.0778, 0.0778, 0.7667)  3 Bi 3.17, 3 Na 3.32
Te (0.2562, 0.2562, 0.2313)  3 Bi 3.17, 3 Na 3.36

# 3
An optimized crystal structure of MnNb2Bi. Source: the Alexandria database, functional PBE.

Summary:
Total magnetization ... 7.04 μB per cell
Symmetry ... No. 122
Calculated formation energy ... 607 meV/atom

Unit cell a=3.9899 b=3.9899 c=10.7240 alpha=79.28 beta=79.28 gamma=90.00
With the nearest neighbours (Å) after each atom.
Fractional positions:
Bi (0.7500, 0.2500, 0.5000)  4 Mn 2.82, 4 Nb 2.95
Bi (0.0000, 0.0000, 0.0000)  4 Mn 2.82, 4 Nb 2.95
Nb (0.1305, 0.6250, 0.2500)  4 Nb 2.79-2.85, 2 Mn 2.94, 2 Bi 2.95
Nb (0.3750, 0.3805, 0.7500)  4 Nb 2.79-2.85, 2 Mn 2.94, 2 Bi 2.95
Nb (0.8750, 0.8695, 0.7500)  4 Nb 2.79-2.85, 2 Mn 2.94, 2 Bi 2.95
Nb (0.6195, 0.1250, 0.2500)  4 Nb 2.79-2.85, 2 Mn 2.94, 2 Bi 2.95
Mn (0.5000, 0.5000, 0.0000)  4 Bi 2.82, 4 Nb 2.94
Mn (0.2500, 0.7500, 0.5000)  4 Bi 2.82, 4 Nb 2.94

# 4
An optimized crystal structure of Dy3Er12Pu. Source: the Alexandria database, functional PBE.

Summary:
Total magnetization ... 0.04 μB per cell
Symmetry ... No. 123
Calculated formation energy ... 189 meV/atom

Unit cell a=4.9361 b=4.9361 c=19.7281 alpha=90.00 beta=90.00 gamma=90.00
With the nearest neighbours (Å) after each atom.
Fractional positions:
Er (0.0000, 0.5000, 0.6271)  8 Er 3.49-3.52, 4 Dy 3.52
Er (0.5000, 0.0000, 0.6271)  8 Er 3.49-3.52, 4 Dy 3.52
Er (0.5000, 0.5000, 0.2482)  8 Er 3.49-3.55, 4 Dy 3.49
Er (0.0000, 0.5000, 0.1186)  8 Er 3.40-3.55, 2 Pu 3.40, 2 Dy 3.52
Er (0.5000, 0.5000, 0.5000)  4 Dy 3.49, 8 Er 3.52
Er (0.5000, 0.5000, 0.7518)  8 Er 3.49-3.55, 4 Dy 3.49
Er (0.5000, 0.0000, 0.3729)  8 Er 3.49-3.52, 4 Dy 3.52
Er (0.0000, 0.5000, 0.8814)  8 Er 3.40-3.55, 2 Pu 3.40, 2 Dy 3.52
Er (0.0000, 0.5000, 0.3729)  8 Er 3.49-3.52, 4 Dy 3.52
Er (0.5000, 0.0000, 0.8814)  8 Er 3.40-3.55, 2 Pu 3.40, 2 Dy 3.52
Er (0.5000, 0.0000, 0.1186)  8 Er 3.40-3.55, 2 Pu 3.40, 2 Dy 3.52
Er (0.5000, 0.5000, 0.0000)  8 Er 3.40, 4 Pu 3.49
Dy (0.0000, 0.0000, 0.5000)  12 Er 3.49-3.52
Dy (0.0000, 0.0000, 0.7544)  12 Er 3.49-3.52
Dy (0.0000, 0.0000, 0.2456)  12 Er 3.49-3.52
Pu (0.0000, 0.0000, 0.0000)  12 Er 3.40-3.49

Q: total magnetization of number 4 (Dy3Er12Pu)?
A: 0.04 μB per cell

Q: Number 4 is which compound?
A: Dy3Er12Pu

Q: Which value of total magnetization does entry 2 give?
A: 0.00 μB per cell

Q: Which of these has the highest total magnetization?
A: MnNb2Bi